--- a ---
This record from the Alexandria database describes Tb3Ho4Pu after structural relaxation. The functional is GGA-PBE.

Computed properties:
Total magnetization   6.19 Bohr magnetons per cell

Cell lengths 8.744, 8.744, 8.744 Å; angles 157.53, 97.79, 86.58 degrees
Element x y z (fractional)
Tb 0.000 0.000 0.000
Tb 0.263 0.763 0.500
Tb 0.737 0.237 0.500
Ho 0.120 0.368 0.752
Ho 0.384 0.632 0.752
Ho 0.616 0.368 0.248
Ho 0.880 0.632 0.248
Pu 0.500 0.500 0.000

---

--- b ---
This record from the Alexandria database describes Tb3Ho4Pu after structural relaxation. The functional is GGA-PBE.

Computed properties:
Total magnetization   13.68 Bohr magnetons per cell

Cell lengths 11.261, 7.154, 6.174 Å; angles 90.00, 90.00, 90.00 degrees
Element x y z (fractional)
Tb 0.000 0.121 0.000
Tb 0.250 0.124 0.670
Tb 0.250 0.876 0.170
Tb 0.500 0.879 0.500
Tb 0.750 0.124 0.670
Tb 0.750 0.876 0.170
Ho 0.000 0.376 0.502
Ho 0.000 0.627 0.002
Ho 0.248 0.627 0.663
Ho 0.252 0.373 0.163
Ho 0.500 0.373 0.502
Ho 0.500 0.624 0.002
Ho 0.748 0.373 0.163
Ho 0.752 0.627 0.663
Pu 0.000 0.875 0.503
Pu 0.500 0.125 0.003

---

Ordering by calculated energy gives the sequence b, a, with the first entry being the most stable.

---

--- a ---
This record from the Alexandria database describes HoPu2Tc after structural relaxation. The functional is GGA-PBE.

Computed properties:
Total magnetization   10.40 Bohr magnetons per cell

Cell lengths 3.295, 3.295, 8.782 Å; angles 90.00, 90.00, 90.00 degrees
Element x y z (fractional)
Ho 0.000 0.000 0.000
Pu 0.500 0.500 0.299
Pu 0.500 0.500 0.701
Tc 0.000 0.000 0.500

---

--- b ---
This record from the Alexandria database describes HoPu2Tc after structural relaxation. The functional is GGA-PBE.

Computed properties:
Total magnetization   10.90 Bohr magnetons per cell

Cell lengths 10.820, 10.820, 10.820 Å; angles 17.35, 17.35, 17.35 degrees
Element x y z (fractional)
Ho 0.000 0.000 0.000
Pu 0.100 0.100 0.100
Pu 0.900 0.900 0.900
Tc 0.500 0.500 0.500

---

Ordering by calculated energy gives the sequence a, b, with the first entry being the most stable.

---

--- a ---
This record from the Alexandria database describes Ho2PuTe4 after structural relaxation. The functional is GGA-PBE.

Computed properties:
Total magnetization   11.45 Bohr magnetons per cell

Cell lengths 7.444, 7.444, 14.912 Å; angles 90.00, 90.00, 146.33 degrees
Element x y z (fractional)
Ho 0.134 0.866 0.567
Ho 0.134 0.866 0.933
Ho 0.866 0.134 0.067
Ho 0.866 0.134 0.433
Pu 0.381 0.619 0.750
Pu 0.619 0.381 0.250
Te 0.044 0.956 0.750
Te 0.225 0.775 0.122
Te 0.225 0.775 0.378
Te 0.500 0.500 0.000
Te 0.500 0.500 0.500
Te 0.775 0.225 0.622
Te 0.775 0.225 0.878
Te 0.956 0.044 0.250

---

--- b ---
This record from the Alexandria database describes Ho2PuTe4 after structural relaxation. The functional is GGA-PBE.

Computed properties:
Total magnetization   11.99 Bohr magnetons per cell

Cell lengths 8.077, 8.077, 8.077 Å; angles 109.09, 109.09, 110.23 degrees
Element x y z (fractional)
Ho 0.005 0.625 0.880
Ho 0.375 0.255 0.380
Ho 0.745 0.125 0.120
Ho 0.875 0.995 0.620
Pu 0.250 0.750 0.500
Pu 0.500 0.500 0.000
Te 0.119 0.370 0.600
Te 0.120 0.369 0.100
Te 0.269 0.020 0.900
Te 0.481 0.881 0.251
Te 0.630 0.230 0.749
Te 0.631 0.731 0.751
Te 0.770 0.519 0.400
Te 0.980 0.880 0.249

---

Ordering by calculated energy gives the sequence a, b, with the first entry being the most stable.

---

--- a ---
This record from the Alexandria database describes Ho4PuTe5 after structural relaxation. The functional is GGA-PBE.

Computed properties:
Total magnetization   6.13 Bohr magnetons per cell

Cell lengths 7.574, 7.574, 10.664 Å; angles 118.27, 118.27, 33.25 degrees
Element x y z (fractional)
Ho 0.099 0.099 0.397
Ho 0.298 0.298 0.198
Ho 0.702 0.702 0.802
Ho 0.901 0.901 0.603
Pu 0.500 0.500 0.000
Te 0.102 0.102 0.898
Te 0.297 0.297 0.695
Te 0.500 0.500 0.500
Te 0.703 0.703 0.305
Te 0.898 0.898 0.102

---

--- b ---
This record from the Alexandria database describes Ho4PuTe5 after structural relaxation. The functional is GGA-PBE.

Computed properties:
Total magnetization   6.10 Bohr magnetons per cell

Cell lengths 15.687, 15.687, 15.687 Å; angles 164.04, 164.04, 22.65 degrees
Element x y z (fractional)
Ho 0.099 0.099 0.000
Ho 0.298 0.298 0.000
Ho 0.702 0.702 0.000
Ho 0.901 0.901 0.000
Pu 0.500 0.500 0.000
Te 0.000 0.000 0.000
Te 0.199 0.199 0.000
Te 0.398 0.398 0.000
Te 0.602 0.602 0.000
Te 0.801 0.801 0.000

---

Ordering by calculated energy gives the sequence a, b, with the first entry being the most stable.

---

--- a ---
This record from the Alexandria database describes HoPuTe after structural relaxation. The functional is GGA-PBE.

Computed properties:
Total magnetization   11.62 Bohr magnetons per cell

Cell lengths 4.240, 4.240, 8.881 Å; angles 90.00, 90.00, 90.00 degrees
Element x y z (fractional)
Ho 0.250 0.250 0.132
Ho 0.750 0.750 0.868
Pu 0.250 0.750 0.500
Pu 0.750 0.250 0.500
Te 0.250 0.250 0.785
Te 0.750 0.750 0.215

---

--- b ---
This record from the Alexandria database describes HoPuTe after structural relaxation. The functional is GGA-PBE.

Computed properties:
Total magnetization   6.47 Bohr magnetons per cell

Cell lengths 6.293, 6.293, 6.293 Å; angles 144.09, 144.09, 51.70 degrees
Element x y z (fractional)
Ho 0.000 0.000 0.000
Pu 0.693 0.693 0.000
Te 0.358 0.358 0.000

---

--- c ---
This record from the Alexandria database describes HoPuTe after structural relaxation. The functional is GGA-PBE.

Computed properties:
Total magnetization   6.32 Bohr magnetons per cell

Cell lengths 5.160, 5.160, 3.821 Å; angles 90.00, 90.00, 120.00 degrees
Element x y z (fractional)
Ho 0.000 0.000 0.000
Pu 0.667 0.333 0.500
Te 0.333 0.667 0.000

---

Ordering by calculated energy gives the sequence a, b, c, with the first entry being the most stable.

---

--- a ---
This record from the Alexandria database describes HoPu2Te4 after structural relaxation. The functional is GGA-PBE.

Computed properties:
Total magnetization   11.01 Bohr magnetons per cell

Cell lengths 8.443, 8.443, 7.788 Å; angles 116.62, 116.62, 30.25 degrees
Element x y z (fractional)
Ho 0.000 0.000 0.000
Pu 0.264 0.264 0.273
Pu 0.736 0.736 0.727
Te 0.119 0.119 0.438
Te 0.371 0.371 0.023
Te 0.629 0.629 0.977
Te 0.881 0.881 0.562

---

--- b ---
This record from the Alexandria database describes HoPu2Te4 after structural relaxation. The functional is GGA-PBE.

Computed properties:
Total magnetization   21.98 Bohr magnetons per cell

Cell lengths 7.530, 7.530, 15.142 Å; angles 90.00, 90.00, 147.10 degrees
Element x y z (fractional)
Ho 0.122 0.878 0.750
Ho 0.878 0.122 0.250
Pu 0.365 0.635 0.569
Pu 0.365 0.635 0.931
Pu 0.635 0.365 0.069
Pu 0.635 0.365 0.431
Te 0.000 0.000 0.000
Te 0.000 0.000 0.500
Te 0.281 0.719 0.126
Te 0.281 0.719 0.374
Te 0.468 0.532 0.750
Te 0.532 0.468 0.250
Te 0.719 0.281 0.626
Te 0.719 0.281 0.874

---

Ordering by calculated energy gives the sequence a, b, with the first entry being the most stable.

---

--- a ---
This record from the Alexandria database describes HoPuTh2 after structural relaxation. The functional is GGA-PBE.

Computed properties:
Total magnetization   5.63 Bohr magnetons per cell

Cell lengths 11.537, 11.537, 11.537 Å; angles 17.61, 17.61, 17.61 degrees
Element x y z (fractional)
Ho 0.000 0.000 0.000
Pu 0.170 0.170 0.170
Th 0.582 0.582 0.582
Th 0.753 0.753 0.753

---

--- b ---
This record from the Alexandria database describes HoPuTh2 after structural relaxation. The functional is GGA-PBE.

Computed properties:
Total magnetization   5.14 Bohr magnetons per cell

Cell lengths 3.539, 3.539, 9.638 Å; angles 90.00, 90.00, 90.00 degrees
Element x y z (fractional)
Ho 0.000 0.000 0.000
Pu 0.000 0.000 0.500
Th 0.500 0.500 0.262
Th 0.500 0.500 0.738

---

--- c ---
This record from the Alexandria database describes HoPuTh2 after structural relaxation. The functional is GGA-PBE.

Computed properties:
Total magnetization   6.25 Bohr magnetons per cell

Cell lengths 5.054, 5.054, 4.728 Å; angles 90.00, 90.00, 90.00 degrees
Element x y z (fractional)
Ho 0.000 0.000 0.000
Pu 0.500 0.500 0.000
Th 0.000 0.500 0.500
Th 0.500 0.000 0.500

---

Ordering by calculated energy gives the sequence c, b, a, with the first entry being the most stable.

---

--- a ---
This record from the Alexandria database describes Ho4Tm5Pu after structural relaxation. The functional is GGA-PBE.

Computed properties:
Total magnetization   5.80 Bohr magnetons per cell

Cell lengths 8.443, 8.443, 11.155 Å; angles 108.55, 108.55, 23.68 degrees
Element x y z (fractional)
Ho 0.085 0.085 0.292
Ho 0.394 0.394 0.202
Ho 0.606 0.606 0.798
Ho 0.915 0.915 0.708
Tm 0.189 0.189 0.078
Tm 0.211 0.211 0.616
Tm 0.500 0.500 0.500
Tm 0.789 0.789 0.384
Tm 0.811 0.811 0.922
Pu 0.500 0.500 0.000

---

--- b ---
This record from the Alexandria database describes Ho4Tm5Pu after structural relaxation. The functional is GGA-PBE.

Computed properties:
Total magnetization   5.60 Bohr magnetons per cell

Cell lengths 8.043, 8.043, 8.043 Å; angles 96.37, 96.37, 141.10 degrees
Element x y z (fractional)
Ho 0.000 0.324 0.324
Ho 0.000 0.676 0.676
Ho 0.324 0.000 0.324
Ho 0.676 0.000 0.676
Tm 0.316 0.316 0.632
Tm 0.316 0.684 0.000
Tm 0.684 0.316 0.000
Tm 0.684 0.684 0.368
Tm 0.993 0.993 0.000
Pu 0.492 0.492 0.000

---

Ordering by calculated energy gives the sequence a, b, with the first entry being the most stable.

---

--- a ---
This record from the Alexandria database describes Ho6TmPu after structural relaxation. The functional is GGA-PBE.

Computed properties:
Total magnetization   6.71 Bohr magnetons per cell

Cell lengths 5.618, 7.094, 7.094 Å; angles 60.01, 90.00, 90.00 degrees
Element x y z (fractional)
Ho 0.000 0.000 0.000
Ho 0.000 0.502 0.995
Ho 0.000 0.995 0.502
Ho 0.500 0.167 0.167
Ho 0.500 0.167 0.665
Ho 0.500 0.665 0.167
Tm 0.000 0.502 0.502
Pu 0.500 0.666 0.666

---

--- b ---
This record from the Alexandria database describes Ho6TmPu after structural relaxation. The functional is GGA-PBE.

Computed properties:
Total magnetization   7.72 Bohr magnetons per cell

Cell lengths 6.949, 6.949, 6.916 Å; angles 104.05, 104.05, 120.64 degrees
Element x y z (fractional)
Ho 0.012 0.452 0.248
Ho 0.236 0.236 0.759
Ho 0.452 0.012 0.248
Ho 0.548 0.988 0.752
Ho 0.764 0.764 0.241
Ho 0.988 0.548 0.752
Tm 0.500 0.500 0.500
Pu 0.000 0.000 0.000

---

Ordering by calculated energy gives the sequence a, b, with the first entry being the most stable.

---

--- a ---
This record from the Alexandria database describes HoTm2Pu after structural relaxation. The functional is GGA-PBE.

Computed properties:
Total magnetization   6.32 Bohr magnetons per cell

Cell lengths 4.908, 4.908, 4.919 Å; angles 90.00, 90.00, 90.00 degrees
Element x y z (fractional)
Ho 0.000 0.000 0.000
Tm 0.000 0.500 0.500
Tm 0.500 0.000 0.500
Pu 0.500 0.500 0.000

---

--- b ---
This record from the Alexandria database describes HoTm2Pu after structural relaxation. The functional is GGA-PBE.

Computed properties:
Total magnetization   5.82 Bohr magnetons per cell

Cell lengths 11.400, 11.400, 11.400 Å; angles 17.65, 17.65, 17.65 degrees
Element x y z (fractional)
Ho 0.000 0.000 0.000
Tm 0.582 0.582 0.582
Tm 0.750 0.750 0.750
Pu 0.166 0.166 0.166

---

--- c ---
This record from the Alexandria database describes HoTm2Pu after structural relaxation. The functional is GGA-PBE.

Computed properties:
Total magnetization   6.24 Bohr magnetons per cell

Cell lengths 3.458, 3.458, 9.885 Å; angles 90.00, 90.00, 90.00 degrees
Element x y z (fractional)
Ho 0.000 0.000 0.000
Tm 0.500 0.500 0.255
Tm 0.500 0.500 0.745
Pu 0.000 0.000 0.500

---

--- d ---
This record from the Alexandria database describes HoTm2Pu after structural relaxation. The functional is GGA-PBE.

Computed properties:
Total magnetization   6.55 Bohr magnetons per cell

Cell lengths 5.523, 5.523, 5.523 Å; angles 60.00, 60.00, 60.00 degrees
Element x y z (fractional)
Ho 0.000 0.000 0.000
Tm 0.250 0.250 0.250
Tm 0.750 0.750 0.750
Pu 0.500 0.500 0.500

---

Ordering by calculated energy gives the sequence b, c, a, d, with the first entry being the most stable.

---

--- a ---
This record from the Alexandria database describes HoTmPu after structural relaxation. The functional is GGA-PBE.

Computed properties:
Total magnetization   13.05 Bohr magnetons per cell

Cell lengths 3.332, 5.522, 9.575 Å; angles 90.00, 90.00, 90.00 degrees
Element x y z (fractional)
Ho 0.250 0.250 0.066
Ho 0.750 0.750 0.934
Tm 0.250 0.750 0.600
Tm 0.750 0.250 0.400
Pu 0.250 0.750 0.256
Pu 0.750 0.250 0.744

---

--- b ---
This record from the Alexandria database describes HoTmPu after structural relaxation. The functional is GGA-PBE.

Computed properties:
Total magnetization   5.74 Bohr magnetons per cell

Cell lengths 5.561, 5.561, 3.262 Å; angles 90.00, 90.00, 120.00 degrees
Element x y z (fractional)
Ho 0.000 0.000 0.000
Tm 0.667 0.333 0.000
Pu 0.333 0.667 0.500

---

Ordering by calculated energy gives the sequence a, b, with the first entry being the most stable.